# 1
The following is a PBE calculation of crystalline Tl2InHgCl at its relaxed geometry, from Alexandria via LeMat-Bulk.

Summary:
Formation energy without anion corrections (kJ/mol of formula units): 42
Crystal system: tetragonal
Magnetic moment (μB/cell): 0.00
ρ (g/cm³): 6.6

a = 5.720 Å, b = 5.843 Å, c = 5.720 Å
α = 90.00°, β = 90.00°, γ = 90.00°
Element x y z (fractional)
1 Tl 0.000 0.000 0.500
2 Tl 0.500 0.000 0.000
3 Hg 0.000 0.000 0.000
4 In 0.500 0.500 0.500
5 Cl 0.000 0.500 0.000

***

# 2
The following is a PBE calculation of crystalline TaZn2BiB at its relaxed geometry, from Alexandria via LeMat-Bulk.

Summary:
Formation energy from the elements (kJ per mole of atoms): 202.4
Crystal system: tetragonal
Magnetic moment (μB/cell): 0.00
ρ (g/cm³): 7.5

a = 5.114 Å, b = 4.515 Å, c = 5.114 Å
α = 90.00°, β = 90.00°, γ = 90.00°
Element x y z (fractional)
1 Bi 0.000 0.000 0.000
2 B 0.000 0.500 0.000
3 Ta 0.500 0.500 0.500
4 Zn 0.500 0.000 0.000
5 Zn 0.000 0.000 0.500

***

# 3
The following is a PBE calculation of crystalline In2Bi6Pb3 at its relaxed geometry, from Alexandria via LeMat-Bulk.

Summary:
Formation energy from the elements (kJ per mole of atoms): 5.7
Crystal system: triclinic
Magnetic moment (μB/cell): 0.00
ρ (g/cm³): 9.7

a = 4.583 Å, b = 6.212 Å, c = 13.931 Å
α = 80.74°, β = 98.86°, γ = 112.21°
Element x y z (fractional)
1 Bi 0.499 0.809 0.178
2 Bi 0.681 0.405 0.111
3 Bi 0.355 0.214 0.477
4 Bi 0.319 0.595 0.889
5 Bi 0.501 0.191 0.822
6 Bi 0.645 0.786 0.523
7 Pb 0.982 0.613 0.356
8 Pb 0.018 0.387 0.644
9 Pb 0.000 0.000 0.000
10 In 0.841 0.812 0.747
11 In 0.159 0.188 0.253

***

# 4
The following is a PBE calculation of crystalline CeDy2Au at its relaxed geometry, from Alexandria via LeMat-Bulk.

Summary:
Formation energy from the elements (kJ per mole of atoms): -21.1
Crystal system: trigonal
Distance to the lowest polymorph of the same formula (meV/atom): 147
Magnetic moment (μB/cell): 1.56
ρ (g/cm³): 9.4

a = 3.673 Å, b = 3.673 Å, c = 10.220 Å
α = 79.65°, β = 79.65°, γ = 60.00°
Site moments in Bohr magnetons follow the coordinates.
Element x y z (fractional)
1 Dy 0.264 0.264 0.209  0.06
2 Dy 0.070 0.070 0.791  0.11
3 Au 0.666 0.666 0.002  0.00
4 Ce 0.501 0.501 0.498  1.00

***

# 5
The following is a PBE calculation of crystalline Cu2Ni12Ge5 at its relaxed geometry, from Alexandria via LeMat-Bulk.

Summary:
Formation energy from the elements (kJ per mole of atoms): -7.5
Crystal system: monoclinic
Magnetic moment (μB/cell): 0.00
ρ (g/cm³): 7.9

a = 4.905 Å, b = 7.067 Å, c = 7.989 Å
α = 104.84°, β = 90.00°, γ = 110.31°
Element x y z (fractional)
1 Ge 0.316 0.631 0.650
2 Ge 0.000 0.000 0.500
3 Ge 0.641 0.283 0.860
4 Ge 0.359 0.717 0.140
5 Ge 0.684 0.369 0.350
6 Ni 0.957 0.394 0.111
7 Ni 0.488 0.976 0.645
8 Ni 0.588 0.685 0.399
9 Ni 0.097 0.685 0.399
10 Ni 0.903 0.315 0.601
11 Ni 0.109 0.218 0.304
12 Ni 0.891 0.782 0.696
13 Ni 0.412 0.315 0.601
14 Ni 0.563 0.606 0.889
15 Ni 0.043 0.606 0.889
16 Ni 0.512 0.024 0.355
17 Ni 0.437 0.394 0.111
18 Cu 0.754 0.000 0.000
19 Cu 0.246 0.000 0.000

***

# 6
The following is a PBE calculation of crystalline Dy2Pd4Rh at its relaxed geometry, from Alexandria via LeMat-Bulk.

Summary:
Formation energy from the elements (kJ per mole of atoms): -69.4
Crystal system: tetragonal
Magnetic moment (μB/cell): 0.00
ρ (g/cm³): 10.5

a = 5.656 Å, b = 5.656 Å, c = 5.801 Å
α = 119.19°, β = 119.19°, γ = 90.00°
Element x y z (fractional)
1 Pd 0.286 0.286 0.071
2 Pd 0.286 0.786 0.071
3 Pd 0.786 0.286 0.071
4 Pd 0.786 0.786 0.072
5 Rh 0.786 0.786 0.572
6 Dy 0.786 0.286 0.571
7 Dy 0.286 0.786 0.571